! GGA+U KHoFeF6, relaxed; values from VASP
&SYSTEM
  ibrav = 0, nat = 9, ntyp = 4
/
ATOMIC_SPECIES
F 19.00 F.upf
K 39.10 K.upf
Fe 55.84 Fe.upf
Ho 164.93 Ho.upf
CELL_PARAMETERS angstrom
5.808 -0.031 0.006
2.877 4.989 0.013
0.005 0.010 5.571
ATOMIC_POSITIONS angstrom
F 5.049 4.958 3.955
F 6.863 1.856 1.635
F 7.586 3.106 3.963
F 6.507 4.903 1.704
F 3.995 3.134 1.641
F 4.776 1.893 3.890
K 5.808 -0.017 5.576
Fe 5.803 3.306 2.798
Ho 2.875 1.672 2.791
! crystal system	monoclinic
! total energy	-52.02	eV per cell
! symmetry	C2 (5)
! Fermi-level density of states	0.000	states/eV per atom